# PmNpNi2O6, relaxed, DFT PBE+U
data_PmNpNi2O6
_chemical_formula_sum 'Pm3 Np3 Ni6 O18'
_cell_length_a 5.4979
_cell_length_b 5.4979
_cell_length_c 14.6524
_cell_angle_alpha 90.00
_cell_angle_beta 90.00
_cell_angle_gamma 120.00
_symmetry_space_group_name_H-M 'R 3'
_symmetry_Int_Tables_number 146
_symmetry_space_group_name_Hall 'R 3'
loop_
_atom_site_label
_atom_site_type_symbol
_atom_site_fract_x
_atom_site_fract_y
_atom_site_fract_z
_atom_site_occupancy
Pm1 Pm 0.0000 0.0000 0.0000 1
Np1 Np 0.0000 0.0000 0.5143 1
Ni1 Ni 0.0000 0.0000 0.2104 1
Ni2 Ni 0.0000 0.0000 0.7206 1
O1 O 0.0308 0.3462 0.7849 1
O2 O 0.0698 0.7134 0.2798 1
# Magnetization, μB/f.u.: 2.00
# Density, Mg/m³: 7.7
# Raw total energy, eV per cell: -225.461